Version 1
# AlCr2Hg

A relaxed AlCr2Hg crystal (PBE-GGA, the Alexandria database).

SG: Imm2
Crystal system: orthorhombic

Lattice parameters (Å, degrees): 4.0672 4.0793 7.7226 90.00 90.00 90.00
Positions (direct):
Al (0.0000, 0.0000, 0.0000)
Al (0.5000, 0.5000, 0.5000)
Cr (0.0000, 0.0000, 0.4997)
Cr (0.0000, 0.5000, 0.7501)
Cr (0.5000, 0.0000, 0.2501)
Cr (0.5000, 0.5000, 0.9997)
Hg (0.0000, 0.5000, 0.2500)
Hg (0.5000, 0.0000, 0.7500)

***

Version 2
# AlCr2Hg

A relaxed AlCr2Hg crystal (PBE-GGA, the Alexandria database).

SG: R3m
Crystal system: trigonal

Lattice parameters (Å, degrees): 2.8935 2.8935 26.2754 90.00 90.00 120.00
Positions (direct):
Al (0.0000, 0.0000, 0.0000)
Al (0.3333, 0.6667, 0.6667)
Al (0.6667, 0.3333, 0.3333)
Cr (0.0000, 0.0000, 0.2524)
Cr (0.0000, 0.0000, 0.5282)
Cr (0.3333, 0.6667, 0.1949)
Cr (0.3333, 0.6667, 0.9190)
Cr (0.6667, 0.3333, 0.5857)
Cr (0.6667, 0.3333, 0.8615)
Hg (0.0000, 0.0000, 0.7666)
Hg (0.3333, 0.6667, 0.4333)
Hg (0.6667, 0.3333, 0.1000)

***

Need the numbers? Relative energies in meV per atom: version 1 0; version 2 51.

***

Version 1
# AlCr2Hg

A relaxed AlCr2Hg crystal (PBE-GGA, the Alexandria database).

SG: Cmmm
Crystal system: orthorhombic

Lattice parameters (Å, degrees): 6.0728 7.1394 3.1054 90.00 90.00 90.00
Positions (direct):
Al (0.0000, 0.0000, 0.0000)
Al (0.5000, 0.5000, 0.0000)
Cr (0.2500, 0.2500, 0.5000)
Cr (0.2500, 0.7500, 0.5000)
Cr (0.7500, 0.2500, 0.5000)
Cr (0.7500, 0.7500, 0.5000)
Hg (0.0000, 0.5000, 0.0000)
Hg (0.5000, 0.0000, 0.0000)

***

Version 2
# AlCr2Hg

A relaxed AlCr2Hg crystal (PBE-GGA, the Alexandria database).

SG: P4/mmm
Crystal system: tetragonal

Lattice parameters (Å, degrees): 3.1108 3.1108 6.8395 90.00 90.00 90.00
Positions (direct):
Al (0.0000, 0.0000, 0.0000)
Cr (0.5000, 0.5000, 0.2266)
Cr (0.5000, 0.5000, 0.7734)
Hg (0.0000, 0.0000, 0.5000)

***

Need the numbers? Relative energies in meV per atom: version 1 53; version 2 0.

***

Version 1
# AlCrHg

A relaxed AlCrHg crystal (PBE-GGA, the Alexandria database).

SG: F-43m
Crystal system: cubic

Lattice parameters (Å, degrees): 6.1884 6.1884 6.1884 90.00 90.00 90.00
Positions (direct):
Al (0.0000, 0.0000, 0.0000)
Al (0.0000, 0.5000, 0.5000)
Al (0.5000, 0.0000, 0.5000)
Al (0.5000, 0.5000, 0.0000)
Cr (0.2500, 0.2500, 0.2500)
Cr (0.2500, 0.7500, 0.7500)
Cr (0.7500, 0.2500, 0.7500)
Cr (0.7500, 0.7500, 0.2500)
Hg (0.2500, 0.2500, 0.7500)
Hg (0.2500, 0.7500, 0.2500)
Hg (0.7500, 0.2500, 0.2500)
Hg (0.7500, 0.7500, 0.7500)

***

Version 2
# AlCrHg

A relaxed AlCrHg crystal (PBE-GGA, the Alexandria database).

SG: P3m1
Crystal system: trigonal

Lattice parameters (Å, degrees): 3.0960 3.0960 6.6646 90.00 90.00 120.00
Positions (direct):
Al (0.0000, 0.0000, 0.0000)
Cr (0.3333, 0.6667, 0.3001)
Hg (0.6667, 0.3333, 0.6430)

***

Version 3
# AlCrHg

A relaxed AlCrHg crystal (PBE-GGA, the Alexandria database).

SG: Cm
Crystal system: monoclinic

Lattice parameters (Å, degrees): 11.9748 2.9657 3.0208 90.00 94.32 90.00
Positions (direct):
Al (0.0000, 0.0000, 0.0000)
Al (0.5000, 0.5000, 0.0000)
Cr (0.1282, 0.5000, 0.5372)
Cr (0.6282, 0.0000, 0.5372)
Hg (0.2966, 0.0000, 0.0800)
Hg (0.7966, 0.5000, 0.0800)

***

Version 4
# AlCrHg

A relaxed AlCrHg crystal (PBE-GGA, the Alexandria database).

SG: P-6m2
Crystal system: hexagonal

Lattice parameters (Å, degrees): 4.5150 4.5150 3.0029 90.00 90.00 120.00
Positions (direct):
Al (0.0000, 0.0000, 0.0000)
Cr (0.6667, 0.3333, 0.5000)
Hg (0.3333, 0.6667, 0.0000)

***

Need the numbers? Relative energies in meV per atom: version 1 174; version 2 129; version 3 0; version 4 48.

***

Version 1
# Al2Cr2Hg

A relaxed Al2Cr2Hg crystal (PBE-GGA, the Alexandria database).

SG: P4/mbm
Crystal system: tetragonal

Lattice parameters (Å, degrees): 7.0567 7.0567 3.1022 90.00 90.00 90.00
Positions (direct):
Al (0.1842, 0.3158, 0.0000)
Al (0.3158, 0.8158, 0.0000)
Al (0.6842, 0.1842, 0.0000)
Al (0.8158, 0.6842, 0.0000)
Cr (0.1038, 0.6038, 0.5000)
Cr (0.3962, 0.1038, 0.5000)
Cr (0.6038, 0.8962, 0.5000)
Cr (0.8962, 0.3962, 0.5000)
Hg (0.0000, 0.0000, 0.5000)
Hg (0.5000, 0.5000, 0.5000)

***

Version 2
# Al2Cr2Hg

A relaxed Al2Cr2Hg crystal (PBE-GGA, the Alexandria database).

SG: P4/mbm
Crystal system: tetragonal

Lattice parameters (Å, degrees): 7.3136 7.3136 3.0005 90.00 90.00 90.00
Positions (direct):
Al (0.1265, 0.3735, 0.0000)
Al (0.3735, 0.8735, 0.0000)
Al (0.6265, 0.1265, 0.0000)
Al (0.8735, 0.6265, 0.0000)
Cr (0.1680, 0.6680, 0.5000)
Cr (0.3320, 0.1680, 0.5000)
Cr (0.6680, 0.8320, 0.5000)
Cr (0.8320, 0.3320, 0.5000)
Hg (0.0000, 0.0000, 0.0000)
Hg (0.5000, 0.5000, 0.0000)

***

Need the numbers? Relative energies in meV per atom: version 1 0; version 2 16.